PBE NdEuCdAg, relaxed; E_form = -0.2818 eV/atom
1.0
0.000 3.836 3.836
3.836 0.000 3.836
3.836 3.836 0.000
Nd Eu Cd Ag
1 1 1 1
direct
0.000 0.000 0.000
0.500 0.500 0.500
0.250 0.250 0.250
0.750 0.750 0.750